# 1
# Pm2PuAg6

Crystalline Pm2PuAg6 at its relaxed geometry (PBE, the Alexandria database).

Computed properties:
* D(E_F): 11.5 states/eV/cell
* VASP energy: -4.72 eV/atom
* E_form: -176 meV/atom

Cell: 8.4992 8.4992 3.2657 Å, 90.00 90.00 120.00°
Space group P6/mmm (No. 191)
Symmetry-distinct sites (fractional):
Pm 0.3333 0.6667 0.0000 x2
Pu 0.0000 0.0000 0.0000 x1
Ag 0.0000 0.3330 0.5000 x6

***

# 2
# PmPuAg4

Crystalline PmPuAg4 at its relaxed geometry (PBE, the Alexandria database).

Computed properties:
* relative energy among the computed polymorphs: 0 meV/atom
* D(E_F): 27.8 states/eV/cell
* VASP energy: -5.19 eV/atom
* E_form: -112 meV/atom

Cell: 6.5023 4.9126 9.0915 Å, 90.00 110.86 90.00°
Space group P2_1/m (No. 11)
Symmetry-distinct sites (fractional):
Pm 0.1238 0.2500 0.2476 x2
Pu 0.3740 0.7500 0.7478 x2
Ag 0.0431 0.2500 0.5830 x2
Ag 0.2135 0.2500 0.9166 x2
Ag 0.2973 0.7500 0.0833 x2
Ag 0.4594 0.7500 0.4169 x2

***

# 3
# Pm2Pu2Ag15

Crystalline Pm2Pu2Ag15 at its relaxed geometry (PBE, the Alexandria database).

Computed properties:
* D(E_F): 94.4 states/eV/cell
* VASP energy: -4.28 eV/atom
* E_form: -24 meV/atom

Cell: 9.7846 9.7846 14.4974 Å, 90.00 90.00 120.00°
Space group R-3m (No. 166, hexagonal axes)
Symmetry-distinct sites (fractional):
Pm 0.0000 0.0000 0.1531 x6
Pu 0.0000 0.0000 0.4030 x6
Ag 0.0000 0.3113 0.5000 x18
Ag 0.0000 0.5000 0.0000 x9
Ag 0.0107 0.5054 0.6528 x18